A relaxed ErZnGePd crystal. Source: Alexandria, functional PBE-GGA.

Unit cell a=4.6622 b=4.6622 c=4.6622 alpha=60.00 beta=60.00 gamma=60.00
Positions (direct):
Ge 0.2500 0.2500 0.2500
Zn 0.7500 0.7500 0.7500
Pd 0.5000 0.5000 0.5000
Er 0.0000 0.0000 0.0000

Values from the calculation:
Energy of formation from the pure elements = -0.528 eV per atom